No. 1
The following is a PBE calculation of a geometry-optimized ZrTeN2O structure, from Alexandria.

Energy in eV per atom: -5.874
DOS at the Fermi energy in states/eV/cell: 5.133

Cell: 3.987 3.987 6.344 Å, 90.00 90.00 90.00°
Site moments in Bohr magnetons follow the coordinates.
Positions (direct):
Te1 0.000 0.000 0.500  0.00
O1 0.500 0.500 0.500  0.07
Zr1 0.000 0.000 0.000  0.00
N1 0.000 0.500 0.000  0.00
N2 0.500 0.000 0.000  0.00



No. 2
The following is a PBE calculation of a geometry-optimized CoTeMo2 structure, from Alexandria.

Energy in eV per atom: -7.506
DOS at the Fermi energy in states/eV/cell: 3.139

Cell: 8.196 8.196 8.196 Å, 22.06 22.06 22.06°
Site moments in Bohr magnetons follow the coordinates.
Positions (direct):
Co1 0.744 0.744 0.744  0.68
Mo1 0.003 0.003 0.003  -0.04
Mo2 0.258 0.258 0.258  -0.09
Te1 0.495 0.495 0.495  -0.01



No. 3
The following is a PBE calculation of a geometry-optimized BaAg2Te structure, from Alexandria.

Energy in eV per atom: -2.954
DOS at the Fermi energy in states/eV/cell: 1.334

Cell: 4.785 6.516 4.784 Å, 69.27 87.96 110.74°
Positions (direct):
Te1 0.500 0.500 0.000
Ba1 0.000 0.500 0.500
Ag1 0.000 0.000 0.000
Ag2 0.500 0.000 0.500



No. 4
The following is a PBE calculation of a geometry-optimized Tb6Sb2Rh structure, from Alexandria.

Energy in eV per atom: -5.236
DOS at the Fermi energy in states/eV/cell: 25.635

Cell: 6.826 6.826 13.444 Å, 90.00 90.00 90.00°
Positions (direct):
Tb1 0.311 0.311 0.350
Tb2 0.689 0.689 0.350
Tb3 0.189 0.811 0.850
Tb4 0.811 0.189 0.850
Tb5 0.189 0.811 0.150
Tb6 0.811 0.189 0.150
Tb7 0.311 0.311 0.650
Tb8 0.689 0.689 0.650
Tb9 0.283 0.283 0.000
Tb10 0.717 0.717 0.000
Tb11 0.217 0.783 0.500
Tb12 0.783 0.217 0.500
Sb1 0.000 0.000 0.333
Sb2 0.500 0.500 0.833
Sb3 0.500 0.500 0.167
Sb4 0.000 0.000 0.667
Rh1 0.000 0.000 0.000
Rh2 0.500 0.500 0.500



No. 5
The following is a PBE calculation of a geometry-optimized Zn2SiMo structure, from Alexandria.

Energy in eV per atom: -4.576
DOS at the Fermi energy in states/eV/cell: 2.336

Cell: 4.876 4.876 2.794 Å, 90.00 90.00 116.80°
Positions (direct):
Mo1 0.500 0.000 0.500
Si1 0.000 0.500 0.500
Zn1 0.000 0.000 0.000
Zn2 0.500 0.500 0.000



No. 6
The following is a PBE calculation of a geometry-optimized RbCu2AuI6 structure, from Alexandria.

Energy in eV per atom: -2.533
DOS at the Fermi energy in states/eV/cell: 0.679

Cell: 7.593 10.748 10.748 Å, 100.93 85.49 85.49°
Positions (direct):
Rb1 0.250 0.851 0.149
Rb2 0.750 0.149 0.851
Cu1 0.293 0.756 0.650
Cu2 0.207 0.350 0.244
Cu3 0.707 0.244 0.350
Cu4 0.793 0.650 0.756
Au1 0.250 0.338 0.662
Au2 0.750 0.662 0.338
I1 0.197 0.967 0.825
I2 0.303 0.175 0.033
I3 0.803 0.033 0.175
I4 0.697 0.825 0.967
I5 0.467 0.807 0.446
I6 0.033 0.554 0.193
I7 0.533 0.193 0.554
I8 0.967 0.446 0.807
I9 0.967 0.765 0.604
I10 0.533 0.396 0.235
I11 0.033 0.235 0.396
I12 0.467 0.604 0.765



No. 7
The following is a PBE calculation of a geometry-optimized Sc2InN structure, from Alexandria.

Energy in eV per atom: -5.580
DOS at the Fermi energy in states/eV/cell: 5.222

Cell: 4.703 4.703 4.703 Å, 60.00 60.00 60.00°
Positions (direct):
Sc1 0.250 0.250 0.250
Sc2 0.750 0.750 0.750
N1 0.000 0.000 0.000
In1 0.500 0.500 0.500



No. 8
The following is a PBE calculation of a geometry-optimized Ca4TaTe structure, from Alexandria.

Energy in eV per atom: -3.199
DOS at the Fermi energy in states/eV/cell: 3.113

Cell: 6.458 6.458 6.458 Å, 60.00 60.00 60.00°
Site moments in Bohr magnetons follow the coordinates.
Positions (direct):
Ca1 0.873 0.376 0.376  0.02
Ca2 0.376 0.376 0.873  0.02
Ca3 0.376 0.873 0.376  0.02
Ca4 0.376 0.376 0.376  0.02
Ta1 0.750 0.750 0.750  1.70
Te1 0.000 0.000 0.000  -0.01